{
  "formula": "AcGdCdIr",
  "functional": "PBE",
  "state": "optimized geometry",
  "cell": [[0.000, 3.744, 3.744], [3.744, 0.000, 3.744], [3.744, 3.744, 0.000]],
  "species": ["Ac", "Gd", "Cd", "Ir"],
  "frac_coords": [[0.000, 0.000, 0.000], [0.500, 0.500, 0.500], [0.250, 0.250, 0.250], [0.750, 0.750, 0.750]],
  "ef_ev_per_fu": -1.477,
  "final_energy_ev_per_cell": -29.44,
  "spacegroup": "F-43m, No. 216"
}